The following is a PBE-GGA calculation of a geometry-optimized LiCdSb2 structure, from the Alexandria database.

abc: 4.482 3.187 7.196
angles: 84.58 90.00 90.00
Sites, in units of the cell vectors:
Cd1 0.500 0.250 0.250
Li1 0.500 0.750 0.750
Sb1 0.000 0.203 0.956
Sb2 0.000 0.297 0.544

Results
energy relative to the elements, uncorrected = -0.57 eV/f.u.
magnetization = 0.00 μB per atom
final energy = -2.911 eV/atom
crystal system = monoclinic